[1]
Entry from Alexandria via LeMat-Bulk: a geometry-optimized AcTmI2 structure (PBE).

Output
total magnetization	0.0	μB per formula unit
formation energy from raw total energies	-0.703	eV/atom
symmetry	No. 166

a b c (Å): 3.996 3.996 11.376
angles (deg): 79.88 79.88 60.00
Positions (direct):
I: 0.091 0.091 0.727
I: 0.909 0.909 0.273
Ac: 0.500 0.500 0.500
Tm: 0.000 0.000 0.000

=====

[2]
Entry from Alexandria via LeMat-Bulk: a geometry-optimized FeWSCl2 structure (PBE).

Output
total magnetization	4.3	μB per formula unit
energy above the lowest structure with this stoichiometry	199	kJ/mol of formula units
formation energy from raw total energies	0.981	eV/atom
symmetry	No. 123

a b c (Å): 4.346 4.346 4.923
angles (deg): 90.00 90.00 90.00
Site moments in Bohr magnetons follow the coordinates.
Positions (direct):
S: 0.000 0.000 0.500  -0.12
Fe: 0.000 0.000 0.000  0.34
W: 0.500 0.500 0.500  3.09
Cl: 0.000 0.500 0.000  0.02
Cl: 0.500 0.000 0.000  0.02

=====

[3]
Entry from Alexandria via LeMat-Bulk: a geometry-optimized LiLaPmHo structure (PBE).

Output
total magnetization	0.0	μB per formula unit
ΔE_f	197	meV/atom
symmetry	No. 216

a b c (Å): 5.624 5.624 5.624
angles (deg): 60.00 60.00 60.00
Positions (direct):
La: 0.750 0.750 0.750
Li: 0.000 0.000 0.000
Ho: 0.250 0.250 0.250
Pm: 0.500 0.500 0.500

=====

[4]
Entry from Alexandria via LeMat-Bulk: a geometry-optimized AlCdO2F structure (PBE).

Output
total magnetization	0.0	μB per formula unit
formation energy from raw total energies	-0.464	eV/atom
symmetry	No. 123

a b c (Å): 4.216 4.216 4.212
angles (deg): 90.00 90.00 90.00
Positions (direct):
F: 0.000 0.000 0.500
Al: 0.500 0.500 0.500
O: 0.000 0.500 0.000
O: 0.500 0.000 0.000
Cd: 0.000 0.000 0.000

=====

These records have DOS at the Fermi energy values of 2.02, 8.93, 5.86, 2.60 states/eV per cell, in the order they appear.